The following is a PBE-GGA calculation of NpGe after structural relaxation, from OQMD via LeMat-Bulk.

Cell: 2.9401 2.9401 5.1450 Å, 90.00 90.00 120.00°
Fractional positions:
Np1 0.0000 0.0000 0.0000
Ge1 0.3333 0.6667 0.5000

## Properties
For the volume, the calculation gives 19.26 Å³ per atom. For the size of the total moment, the calculation gives 2.7 μB per cell. Its energy is -17.5 eV per cell.